No. 1
The following is a GGA-PBE calculation of YCr2Au after structural relaxation, from the Alexandria database.

## Properties
calculated density: 7.78 g/cm³
E above lowest polymorph: 484.2 meV/atom
symmetry: I4_1/amd, No. 141

a = 4.1496 Å, b = 4.1496 Å, c = 19.3369 Å
α = 90.00°, β = 90.00°, γ = 90.00°
Element x y z (fractional)
Y  0.0000  0.2500  0.3750
Y  0.0000  0.7500  0.6250
Y  0.5000  0.2500  0.1250
Y  0.5000  0.7500  0.8750
Cr  0.0000  0.0000  0.0000
Cr  0.0000  0.5000  0.0000
Cr  0.2500  0.2500  0.7500
Cr  0.2500  0.7500  0.2500
Cr  0.5000  0.0000  0.5000
Cr  0.5000  0.5000  0.5000
Cr  0.7500  0.2500  0.7500
Cr  0.7500  0.7500  0.2500
Au  0.0000  0.2500  0.8750
Au  0.0000  0.7500  0.1250
Au  0.5000  0.2500  0.6250
Au  0.5000  0.7500  0.3750

=====

No. 2
The following is a GGA-PBE calculation of ZnCrAu after structural relaxation, from the Alexandria database.

## Properties
calculated density: 10.69 g/cm³
symmetry: P6_3/mmc, No. 194
total DFT energy (no corrections): -4.66 eV per atom

a = 4.4450 Å, b = 4.4450 Å, c = 5.7069 Å
α = 90.00°, β = 90.00°, γ = 120.00°
Element x y z (fractional)
Zn  0.3333  0.6667  0.2500
Zn  0.6667  0.3333  0.7500
Cr  0.0000  0.0000  0.0000
Cr  0.0000  0.0000  0.5000
Au  0.3333  0.6667  0.7500
Au  0.6667  0.3333  0.2500

=====

No. 3
The following is a GGA-PBE calculation of Zn2CrAu after structural relaxation, from the Alexandria database.

## Properties
calculated density: 8.99 g/cm³
symmetry: I-42d, No. 122
total DFT energy (no corrections): -3.58 eV per atom

a = 7.1834 Å, b = 7.1834 Å, c = 5.4366 Å
α = 90.00°, β = 90.00°, γ = 90.00°
Element x y z (fractional)
Zn  0.2436  0.2500  0.1250
Zn  0.2500  0.7436  0.3750
Zn  0.2500  0.7564  0.8750
Zn  0.2564  0.2500  0.6250
Zn  0.7436  0.7500  0.6250
Zn  0.7500  0.2436  0.8750
Zn  0.7500  0.2564  0.3750
Zn  0.7564  0.7500  0.1250
Cr  0.0000  0.0000  0.5000
Cr  0.0000  0.5000  0.7500
Cr  0.5000  0.0000  0.2500
Cr  0.5000  0.5000  0.0000
Au  0.0000  0.0000  0.0000
Au  0.0000  0.5000  0.2500
Au  0.5000  0.0000  0.7500
Au  0.5000  0.5000  0.5000

=====

No. 4
The following is a GGA-PBE calculation of ZnCrAu after structural relaxation, from the Alexandria database.

## Properties
calculated density: 8.85 g/cm³
symmetry: F-43m, No. 216
total DFT energy (no corrections): -4.44 eV per atom

a = 6.1788 Å, b = 6.1788 Å, c = 6.1788 Å
α = 90.00°, β = 90.00°, γ = 90.00°
Element x y z (fractional)
Zn  0.0000  0.0000  0.0000
Zn  0.0000  0.5000  0.5000
Zn  0.5000  0.0000  0.5000
Zn  0.5000  0.5000  0.0000
Cr  0.0000  0.0000  0.5000
Cr  0.0000  0.5000  0.0000
Cr  0.5000  0.0000  0.0000
Cr  0.5000  0.5000  0.5000
Au  0.2500  0.2500  0.7500
Au  0.2500  0.7500  0.2500
Au  0.7500  0.2500  0.2500
Au  0.7500  0.7500  0.7500

=====

No. 5
The following is a GGA-PBE calculation of Zn2CrAu after structural relaxation, from the Alexandria database.

## Properties
calculated density: 10.77 g/cm³
symmetry: P4/mmm, No. 123
total DFT energy (no corrections): -3.76 eV per atom

a = 2.6841 Å, b = 2.6841 Å, c = 8.1277 Å
α = 90.00°, β = 90.00°, γ = 90.00°
Element x y z (fractional)
Zn  0.0000  0.0000  0.2323
Zn  0.0000  0.0000  0.7677
Cr  0.5000  0.5000  0.0000
Au  0.5000  0.5000  0.5000

=====

No. 6
The following is a GGA-PBE calculation of Zn6CrAu12 after structural relaxation, from the Alexandria database.

## Properties
calculated density: 13.68 g/cm³
symmetry: R-3, No. 148
total DFT energy (no corrections): -3.06 eV per atom

a = 7.4653 Å, b = 7.4653 Å, c = 7.4653 Å
α = 107.57°, β = 107.57°, γ = 107.57°
Element x y z (fractional)
Zn  0.0340  0.2997  0.4058
Zn  0.2997  0.4058  0.0340
Zn  0.4058  0.0340  0.2997
Zn  0.5942  0.9660  0.7003
Zn  0.7003  0.5942  0.9660
Zn  0.9660  0.7003  0.5942
Cr  0.5000  0.5000  0.5000
Au  0.0175  0.9132  0.3119
Au  0.0868  0.6881  0.9825
Au  0.2287  0.6690  0.3939
Au  0.3119  0.0175  0.9132
Au  0.3310  0.6061  0.7713
Au  0.3939  0.2287  0.6690
Au  0.6061  0.7713  0.3310
Au  0.6690  0.3939  0.2287
Au  0.6881  0.9825  0.0868
Au  0.7713  0.3310  0.6061
Au  0.9132  0.3119  0.0175
Au  0.9825  0.0868  0.6881